First-principles (PBE) data for crystalline Fe2TcNi at its relaxed geometry, as listed in the Alexandria database.

Cell: 3.6148 3.6148 7.2616 Å, 90.00 90.00 90.00°
Space group I4/mmm (No. 139)
Inequivalent atoms, fractional coordinates:
Fe  0.0000  0.5000  0.2500 x4
Tc  0.0000  0.0000  0.0000 x2
Ni  0.0000  0.0000  0.5000 x2

Output
As for the energy of formation from the pure elements: 0.19 eV/f.u.

***

First-principles (PBE) data for crystalline TaSbRh2 at its relaxed geometry, as listed in the Alexandria database.

Cell: 4.0948 4.0948 7.8976 Å, 90.00 90.00 90.00°
Space group I4/mmm (No. 139)
Inequivalent atoms, fractional coordinates:
Ta  0.0000  0.0000  0.0000 x2
Sb  0.0000  0.0000  0.5000 x2
Rh  0.0000  0.5000  0.2500 x4

***

First-principles (PBE) data for crystalline LaPrNd2S4 at its relaxed geometry, as listed in the Alexandria database.

Cell: 8.1978 8.2067 11.5972 Å, 90.00 90.00 90.00°
Space group Imma (No. 74)
Inequivalent atoms, fractional coordinates:
La  0.0000  0.0000  0.0000 x4
Pr  0.2500  0.2500  0.2500 x4
Nd  0.0000  0.0000  0.5000 x4
Nd  0.2500  0.2500  0.7500 x4
S  0.0000  0.0023  0.7485 x8
S  0.2469  0.2500  0.5011 x8

***

First-principles (PBE) data for crystalline GdDy2H at its relaxed geometry, as listed in the Alexandria database.

Cell: 3.5984 3.5984 25.5146 Å, 90.00 90.00 120.00°
Space group R-3m (No. 166, hexagonal axes)
Inequivalent atoms, fractional coordinates:
Gd  0.0000  0.0000  0.0000 x3
Dy  0.0000  0.0000  0.2204 x6
H  0.0000  0.0000  0.5000 x3

Output
Its offset from the most stable computed form is 0 meV/atom.

***

Number 1: total magnetic moment 3.16 μB per formula unit, total DFT energy (no corrections) -8.22 eV/atom. Number 2: total magnetic moment 0.00 μB per formula unit, total DFT energy (no corrections) -8.01 eV/atom. Number 3: total magnetic moment 0.00 μB per formula unit, total DFT energy (no corrections) -6.53 eV/atom. Number 4: total magnetic moment 7.22 μB per formula unit, total DFT energy (no corrections) -6.84 eV/atom.